Below is a geometry-optimized Tb3TmAg4 structure, with properties calculated at the GGA-PBE level.

```
Tb3TmAg4
1.0
3.632 0.000 0.000
0.000 3.632 0.000
0.000 0.000 14.576
Tb Ag Tm
3 4 1
direct
0.500 0.500 0.247
0.500 0.500 0.500
0.500 0.500 0.753
0.000 0.000 0.374
0.000 0.000 0.626
0.000 0.000 0.880
0.000 0.000 0.120
0.500 0.500 0.000
```

Output
Space-group type: No. 123
Density of states at the Fermi level (states/eV/cell): 5.774
Formation energy (eV per atom): -0.319
Energy (Ry/atom): -0.297